1.
{
  "formula": "PmGe2Pt4",
  "functional": "PBE",
  "state": "relaxed",
  "lattice": [[4.2844, 0.0000, 0.0000], [2.1422, 3.7104, 0.0000], [2.1422, 1.2368, 8.2048]],
  "species": ["Pm", "Ge", "Ge", "Pt", "Pt", "Pt", "Pt"],
  "fractional_positions": [[0.0000, 0.0000, 0.0000], [0.2406, 0.2406, 0.2783], [0.7594, 0.7594, 0.7217], [0.4117, 0.4117, 0.7648], [0.1374, 0.1374, 0.5878], [0.5883, 0.5883, 0.2352], [0.8626, 0.8626, 0.4122]],
  "e_form_ev_per_atom": -0.72,
  "dos_ef_per_ev_atom": 0.414,
  "e_tot_ev_per_atom": -6.173
}

=====

2.
{
  "formula": "Pm2Ge2Pt",
  "functional": "PBE",
  "state": "relaxed",
  "lattice": [[-1.1141, -3.7567, -2.0552], [4.0605, -1.7425, -3.7788], [3.3574, -6.8747, 5.9832]],
  "species": ["Pm", "Pm", "Pm", "Pm", "Ge", "Ge", "Ge", "Ge", "Pt", "Pt"],
  "fractional_positions": [[0.6817, 0.3064, 0.3303], [0.9244, 0.2658, 0.8854], [0.3183, 0.6936, 0.6697], [0.0756, 0.7342, 0.1146], [0.0920, 0.2624, 0.5535], [0.6338, 0.8452, 0.8872], [0.9080, 0.7376, 0.4465], [0.3662, 0.1548, 0.1128], [0.6080, 0.1199, 0.6640], [0.3920, 0.8801, 0.3360]],
  "e_form_ev_per_atom": -0.99,
  "dos_ef_per_ev_atom": 0.637,
  "e_tot_ev_per_atom": -5.948
}

=====

3.
{
  "formula": "Pm6Ge5Pt",
  "functional": "PBE",
  "state": "relaxed",
  "lattice": [[-4.8969, 1.4376, 5.2468], [2.5612, -2.3548, 6.5431], [4.0272, 4.5627, 4.2622]],
  "species": ["Pm", "Pm", "Pm", "Pm", "Pm", "Pm", "Ge", "Ge", "Ge", "Ge", "Ge", "Pt"],
  "fractional_positions": [[0.7497, 0.0830, 0.3265], [0.2503, 0.5904, 0.3265], [0.2448, 0.2422, 0.0000], [0.7552, 0.7578, 0.0000], [0.7497, 0.4096, 0.6735], [0.2503, 0.9170, 0.6735], [0.5000, 0.1674, 0.6651], [0.0000, 0.3329, 0.3342], [0.5000, 0.5000, 0.0000], [0.0000, 0.6671, 0.6658], [0.5000, 0.8326, 0.3349], [0.0000, 0.0000, 0.0000]],
  "e_form_ev_per_atom": -0.69,
  "dos_ef_per_ev_atom": 0.723,
  "e_tot_ev_per_atom": -5.495
}

=====

4.
{
  "formula": "PmGe3Pt",
  "functional": "PBE",
  "state": "relaxed",
  "lattice": [[-3.4993, 1.0039, -2.6971], [1.7010, -2.7035, -3.2132], [-1.6297, -2.9568, 4.8191]],
  "species": ["Pm", "Ge", "Ge", "Ge", "Pt"],
  "fractional_positions": [[0.0005, 0.0005, 0.0010], [0.2642, 0.7642, 0.5285], [0.7642, 0.2642, 0.5285], [0.4070, 0.4070, 0.8139], [0.6543, 0.6543, 0.3086]],
  "e_form_ev_per_atom": -0.66,
  "dos_ef_per_ev_atom": 0.314,
  "polymorph_energy_mev_per_atom": 0,
  "e_tot_ev_per_atom": -5.586
}

=====

5.
{
  "formula": "Pm3Ge3Pt2",
  "functional": "PBE",
  "state": "relaxed",
  "lattice": [[4.4150, 0.0000, 0.0000], [-2.2075, 5.3687, 0.0000], [0.0000, 0.0000, 14.7899]],
  "species": ["Pm", "Pm", "Pm", "Pm", "Pm", "Pm", "Ge", "Ge", "Ge", "Ge", "Ge", "Ge", "Pt", "Pt", "Pt", "Pt"],
  "fractional_positions": [[0.9055, 0.8110, 0.3911], [0.0945, 0.1890, 0.8911], [0.9055, 0.8110, 0.1089], [0.0945, 0.1890, 0.6089], [0.6284, 0.2568, 0.2500], [0.3716, 0.7432, 0.7500], [0.6176, 0.2352, 0.4657], [0.3824, 0.7648, 0.9657], [0.6176, 0.2352, 0.0343], [0.3824, 0.7648, 0.5343], [0.3340, 0.6679, 0.2500], [0.6660, 0.3321, 0.7500], [0.8088, 0.6176, 0.8955], [0.1912, 0.3824, 0.3955], [0.8088, 0.6176, 0.6045], [0.1912, 0.3824, 0.1045]],
  "e_form_ev_per_atom": -1.04,
  "dos_ef_per_ev_atom": 0.357,
  "e_tot_ev_per_atom": -6.061
}

=====

6.
{
  "formula": "Pm2Ge7Pt12",
  "functional": "PBE",
  "state": "relaxed",
  "lattice": [[4.0233, 0.0000, 0.0000], [0.0000, 8.8650, -5.1182], [0.0000, 0.0000, 10.2364]],
  "species": ["Pm", "Pm", "Ge", "Ge", "Ge", "Ge", "Ge", "Ge", "Ge", "Pt", "Pt", "Pt", "Pt", "Pt", "Pt", "Pt", "Pt", "Pt", "Pt", "Pt", "Pt"],
  "fractional_positions": [[0.5000, 0.0000, 0.0000], [0.0000, 0.6667, 0.3333], [0.0000, 0.3333, 0.6667], [0.0000, 0.0550, 0.7871], [0.0000, 0.7321, 0.9450], [0.0000, 0.2129, 0.2679], [0.5000, 0.6302, 0.5573], [0.5000, 0.9271, 0.3698], [0.5000, 0.4427, 0.0729], [0.5000, 0.8882, 0.5954], [0.5000, 0.7072, 0.1118], [0.5000, 0.4046, 0.2928], [0.5000, 0.2260, 0.8045], [0.5000, 0.5785, 0.7740], [0.5000, 0.1955, 0.4215], [0.0000, 0.0589, 0.5408], [0.0000, 0.4820, 0.9411], [0.0000, 0.4592, 0.5180], [0.0000, 0.7920, 0.7377], [0.0000, 0.9457, 0.2080], [0.0000, 0.2623, 0.0543]],
  "e_form_ev_per_atom": -0.66,
  "dos_ef_per_ev_atom": 0.391,
  "e_tot_ev_per_atom": -6.104
}

=====

7.
{
  "formula": "PmGe4Pt2",
  "functional": "PBE",
  "state": "relaxed",
  "lattice": [[4.3409, 0.0000, 0.0000], [0.0000, 6.9776, 0.0000], [0.0000, 0.0000, 17.4507]],
  "species": ["Ge", "Ge", "Ge", "Ge", "Ge", "Ge", "Ge", "Ge", "Ge", "Ge", "Ge", "Ge", "Ge", "Ge", "Ge", "Ge", "Pt", "Pt", "Pt", "Pt", "Pt", "Pt", "Pt", "Pt", "Pm", "Pm", "Pm", "Pm"],
  "fractional_positions": [[0.2500, 0.2582, 0.6955], [0.7500, 0.7418, 0.3045], [0.7500, 0.7582, 0.8045], [0.2500, 0.2418, 0.1955], [0.2500, 0.6709, 0.6775], [0.7500, 0.3291, 0.3225], [0.7500, 0.1709, 0.8225], [0.2500, 0.8291, 0.1775], [0.2500, 0.1392, 0.5379], [0.7500, 0.8608, 0.4621], [0.7500, 0.6392, 0.9621], [0.2500, 0.3608, 0.0379], [0.2500, 0.4708, 0.4361], [0.7500, 0.5292, 0.5639], [0.7500, 0.9708, 0.0639], [0.2500, 0.0292, 0.9361], [0.2500, 0.7633, 0.5292], [0.7500, 0.2367, 0.4708], [0.7500, 0.2633, 0.9708], [0.2500, 0.7367, 0.0292], [0.2500, 0.9542, 0.7883], [0.7500, 0.0458, 0.2117], [0.7500, 0.4542, 0.7117], [0.2500, 0.5458, 0.2883], [0.7500, 0.9849, 0.6415], [0.2500, 0.0151, 0.3585], [0.2500, 0.4849, 0.8585], [0.7500, 0.5151, 0.1415]],
  "e_form_ev_per_atom": -0.63,
  "dos_ef_per_ev_atom": 0.303,
  "polymorph_energy_mev_per_atom": 0,
  "e_tot_ev_per_atom": -5.668
}

=====

8.
{
  "formula": "Pm2Ge4Pt5",
  "functional": "PBE",
  "state": "relaxed",
  "lattice": [[-4.9325, 1.1794, -2.2897], [-4.7561, -1.3683, 2.7795], [-2.4254, 7.5134, 2.3334]],
  "species": ["Pm", "Pm", "Ge", "Ge", "Ge", "Ge", "Pt", "Pt", "Pt", "Pt", "Pt"],
  "fractional_positions": [[0.8664, 0.0000, 0.2672], [0.1336, 0.0000, 0.7328], [0.4806, 0.3010, 0.7378], [0.5194, 0.6990, 0.2622], [0.2184, 0.3010, 0.2622], [0.7816, 0.6990, 0.7378], [0.5000, 0.0000, 0.0000], [0.0000, 0.5000, 0.0000], [0.5000, 0.5000, 0.0000], [0.2500, 0.5000, 0.5000], [0.7500, 0.5000, 0.5000]],
  "e_form_ev_per_atom": -0.72,
  "dos_ef_per_ev_atom": 0.560,
  "e_tot_ev_per_atom": -6.004
}

=====

9.
{
  "formula": "Pm2Ge3Pt",
  "functional": "PBE",
  "state": "relaxed",
  "lattice": [[-3.8358, -1.0682, 1.0759], [1.6211, -3.1154, 2.6866], [0.1922, 4.8047, 5.4556]],
  "species": ["Pm", "Pm", "Ge", "Ge", "Ge", "Pt"],
  "fractional_positions": [[0.0000, 0.5000, 0.0016], [0.0000, 0.0000, 0.5004], [0.5000, 0.0000, 0.8319], [0.5000, 0.0000, 0.1749], [0.5000, 0.5000, 0.6640], [0.5000, 0.5000, 0.3272]],
  "e_form_ev_per_atom": -0.88,
  "dos_ef_per_ev_atom": 0.485,
  "polymorph_energy_mev_per_atom": 28,
  "e_tot_ev_per_atom": -5.776
}

=====

10.
{
  "formula": "Pm6Ge2Pt",
  "functional": "PBE",
  "state": "relaxed",
  "lattice": [[-2.9620, 3.7224, 1.2799], [0.9741, -1.5939, 6.8901], [6.9956, 3.6342, -3.8465]],
  "species": ["Pm", "Pm", "Pm", "Pm", "Pm", "Pm", "Ge", "Ge", "Pt"],
  "fractional_positions": [[0.1630, 0.4062, 0.3261], [0.8370, 0.0801, 0.6739], [0.8370, 0.5938, 0.6739], [0.5000, 0.2459, 0.0000], [0.1630, 0.9199, 0.3261], [0.5000, 0.7541, 0.0000], [0.6692, 0.6693, 0.3386], [0.3308, 0.3307, 0.6614], [0.0000, 0.0000, 0.0000]],
  "e_form_ev_per_atom": -0.58,
  "dos_ef_per_ev_atom": 1.228,
  "e_tot_ev_per_atom": -5.441
}

=====

11.
{
  "formula": "Pm3Ge5Pt2",
  "functional": "PBE",
  "state": "relaxed",
  "lattice": [[-0.3767, -1.3534, -6.2871], [-6.6102, -6.0616, -1.5996], [-7.4116, 3.8134, -3.6773]],
  "species": ["Pm", "Pm", "Pm", "Pm", "Pm", "Pm", "Ge", "Ge", "Ge", "Ge", "Ge", "Ge", "Ge", "Ge", "Ge", "Ge", "Pt", "Pt", "Pt", "Pt"],
  "fractional_positions": [[0.2500, 0.0000, 0.0000], [0.7500, 0.0000, 0.0000], [0.3631, 0.4260, 0.8478], [0.6369, 0.5740, 0.1522], [0.8631, 0.8478, 0.4260], [0.1369, 0.1522, 0.5740], [0.2500, 0.5000, 0.5000], [0.7500, 0.5000, 0.5000], [0.4766, 0.7734, 0.7734], [0.0234, 0.2266, 0.2266], [0.5234, 0.2266, 0.2266], [0.9766, 0.7734, 0.7734], [0.1317, 0.4755, 0.2610], [0.8683, 0.5245, 0.7390], [0.6317, 0.2610, 0.4755], [0.3683, 0.7390, 0.5245], [0.1361, 0.7113, 0.0165], [0.8639, 0.2887, 0.9835], [0.6361, 0.0165, 0.7113], [0.3639, 0.9835, 0.2887]],
  "e_form_ev_per_atom": -0.59,
  "dos_ef_per_ev_atom": 0.515,
  "e_tot_ev_per_atom": -5.528
}

=====

12.
{
  "formula": "Pm2Ge3Pt2",
  "functional": "PBE",
  "state": "relaxed",
  "lattice": [[-0.7971, 0.5233, -4.2010], [6.6073, -2.1876, -1.5262], [-2.6106, -8.9903, 1.5843]],
  "species": ["Pm", "Pm", "Pm", "Pm", "Ge", "Ge", "Ge", "Ge", "Ge", "Ge", "Pt", "Pt", "Pt", "Pt"],
  "fractional_positions": [[0.1549, 0.2500, 0.3099], [0.8451, 0.7500, 0.6901], [0.9454, 0.2500, 0.8908], [0.0546, 0.7500, 0.1092], [0.2239, 0.7500, 0.4479], [0.7761, 0.2500, 0.5521], [0.5626, 0.4342, 0.1253], [0.4374, 0.5658, 0.8747], [0.4374, 0.9342, 0.8747], [0.5626, 0.0658, 0.1253], [0.6943, 0.9521, 0.3886], [0.3057, 0.0479, 0.6114], [0.3057, 0.4521, 0.6114], [0.6943, 0.5479, 0.3886]],
  "e_form_ev_per_atom": -0.91,
  "dos_ef_per_ev_atom": 0.354,
  "polymorph_energy_mev_per_atom": 0,
  "e_tot_ev_per_atom": -5.969
}

=====

13.
{
  "formula": "Pm3Ge2Pt7",
  "functional": "PBE",
  "state": "relaxed",
  "lattice": [[-0.7425, 2.4219, 3.2075], [-0.2304, -3.3643, 2.4870], [14.4785, 2.6285, 1.3669]],
  "species": ["Pm", "Pm", "Pm", "Ge", "Ge", "Pt", "Pt", "Pt", "Pt", "Pt", "Pt", "Pt"],
  "fractional_positions": [[0.5000, 0.5000, 0.0000], [0.5000, 0.7025, 0.4049], [0.5000, 0.2975, 0.5951], [0.0000, 0.9171, 0.8342], [0.0000, 0.0829, 0.1658], [0.0000, 0.3704, 0.7409], [0.0000, 0.7887, 0.5774], [0.0000, 0.0000, 0.0000], [0.0000, 0.6296, 0.2591], [0.5000, 0.1309, 0.2618], [0.5000, 0.8691, 0.7382], [0.0000, 0.2113, 0.4226]],
  "e_form_ev_per_atom": -0.81,
  "dos_ef_per_ev_atom": 0.429,
  "polymorph_energy_mev_per_atom": 103,
  "e_tot_ev_per_atom": -6.293
}

=====

14.
{
  "formula": "Pm5Ge4Pt",
  "functional": "PBE",
  "state": "relaxed",
  "lattice": [[3.4630, 0.0000, 0.0000], [0.0000, 3.4630, 0.0000], [0.0000, 0.0000, 20.0838]],
  "species": ["Pm", "Pm", "Pm", "Pm", "Pm", "Ge", "Ge", "Ge", "Ge", "Pt"],
  "fractional_positions": [[0.5000, 0.5000, 0.0930], [0.5000, 0.5000, 0.2970], [0.5000, 0.5000, 0.5000], [0.5000, 0.5000, 0.7030], [0.5000, 0.5000, 0.9070], [0.0000, 0.0000, 0.1941], [0.0000, 0.0000, 0.3981], [0.0000, 0.0000, 0.6019], [0.0000, 0.0000, 0.8059], [0.0000, 0.0000, 0.0000]],
  "e_form_ev_per_atom": -0.72,
  "dos_ef_per_ev_atom": 0.707,
  "e_tot_ev_per_atom": -5.546
}

=====

15.
{
  "formula": "PmGe2Pt2",
  "functional": "PBE",
  "state": "relaxed",
  "lattice": [[-4.0848, -0.8929, 1.3159], [0.0432, -3.6882, -2.3684], [3.6381, -5.0215, 7.8860]],
  "species": ["Pm", "Pm", "Ge", "Ge", "Ge", "Ge", "Pt", "Pt", "Pt", "Pt"],
  "fractional_positions": [[0.5000, 0.0000, 0.2510], [0.0000, 0.5000, 0.7490], [0.5000, 0.5000, 0.5000], [0.0000, 0.0000, 0.5000], [0.0000, 0.5000, 0.1297], [0.5000, 0.0000, 0.8703], [0.0000, 0.5000, 0.3745], [0.5000, 0.0000, 0.6255], [0.5000, 0.5000, 0.0000], [0.0000, 0.0000, 0.0000]],
  "e_form_ev_per_atom": -0.93,
  "dos_ef_per_ev_atom": 0.546,
  "e_tot_ev_per_atom": -6.141
}

=====

16.
{
  "formula": "PmGe2Pt3",
  "functional": "PBE",
  "state": "relaxed",
  "lattice": [[-1.7134, 1.5449, -3.3672], [-3.0362, -2.7114, 0.3009], [-1.6901, 5.6210, 5.9130]],
  "species": ["Pm", "Ge", "Ge", "Pt", "Pt", "Pt"],
  "fractional_positions": [[0.0000, 0.0000, 0.0000], [0.6547, 0.6547, 0.3093], [0.3453, 0.3453, 0.6907], [0.7500, 0.2500, 0.5000], [0.5000, 0.5000, 0.0000], [0.2500, 0.7500, 0.5000]],
  "e_form_ev_per_atom": -0.62,
  "dos_ef_per_ev_atom": 0.544,
  "polymorph_energy_mev_per_atom": 235,
  "e_tot_ev_per_atom": -5.974
}

=====

17.
{
  "formula": "Pm7Ge2Pt2",
  "functional": "PBE",
  "state": "relaxed",
  "lattice": [[-0.9085, -0.4969, 6.8193], [4.5443, -5.3750, 0.2141], [5.2277, 4.3789, -1.0350]],
  "species": ["Pm", "Pm", "Pm", "Pm", "Pm", "Pm", "Pm", "Ge", "Ge", "Pt", "Pt"],
  "fractional_positions": [[0.0000, 0.2688, 0.5000], [0.5000, 0.7312, 0.0000], [0.0000, 0.7312, 0.5000], [0.5000, 0.2688, 0.0000], [0.0000, 0.0000, 0.0000], [0.5000, 0.7452, 0.5000], [0.5000, 0.2548, 0.5000], [0.8330, 0.5000, 0.8330], [0.1670, 0.5000, 0.1670], [0.7143, 0.0000, 0.2857], [0.2857, 0.0000, 0.7143]],
  "e_form_ev_per_atom": -0.54,
  "dos_ef_per_ev_atom": 1.051,
  "e_tot_ev_per_atom": -5.506
}

=====

18.
{
  "formula": "Pm2Ge6Pt",
  "functional": "PBE",
  "state": "relaxed",
  "lattice": [[-2.9679, 0.5436, -2.8188], [1.4771, -3.2468, -2.1815], [-5.1620, -7.1108, 7.0880]],
  "species": ["Pm", "Pm", "Ge", "Ge", "Ge", "Ge", "Ge", "Ge", "Pt"],
  "fractional_positions": [[0.3331, 0.0000, 0.6662], [0.9968, 0.0000, 0.9935], [0.7123, 0.0000, 0.4246], [0.2115, 0.5000, 0.4229], [0.0986, 0.5000, 0.1971], [0.5997, 0.0000, 0.1993], [0.4554, 0.5000, 0.9108], [0.8860, 0.5000, 0.7721], [0.7757, 0.5000, 0.5514]],
  "e_form_ev_per_atom": -0.57,
  "dos_ef_per_ev_atom": 0.275,
  "e_tot_ev_per_atom": -5.371
}

=====

19.
{
  "formula": "Pm3Ge2Pt4",
  "functional": "PBE",
  "state": "relaxed",
  "lattice": [[-3.4180, 0.3377, -2.8026], [3.3895, -4.5000, -1.1701], [-5.5232, -1.9387, 6.5023]],
  "species": ["Pm", "Pm", "Pm", "Ge", "Ge", "Pt", "Pt", "Pt", "Pt"],
  "fractional_positions": [[0.6372, 0.2744, 0.6913], [0.0000, 0.0000, 0.0000], [0.3628, 0.7256, 0.3087], [0.6598, 0.3197, 0.3263], [0.3402, 0.6803, 0.6737], [0.7189, 0.4377, 0.0734], [0.2811, 0.5623, 0.9266], [0.9049, 0.8098, 0.5854], [0.0951, 0.1902, 0.4146]],
  "e_form_ev_per_atom": -1.08,
  "dos_ef_per_ev_atom": 0.487,
  "e_tot_ev_per_atom": -6.371
}

=====

20.
{
  "formula": "PmGePt2",
  "functional": "PBE",
  "state": "relaxed",
  "lattice": [[4.4994, 0.0000, 0.0000], [0.0000, 5.6786, 0.0000], [0.0000, 0.0000, 6.3400]],
  "species": ["Pm", "Pm", "Ge", "Ge", "Pt", "Pt", "Pt", "Pt"],
  "fractional_positions": [[0.0000, 0.0000, 0.3888], [0.5000, 0.5000, 0.6112], [0.0000, 0.5000, 0.1592], [0.5000, 0.0000, 0.8408], [0.0000, 0.2444, 0.8244], [0.0000, 0.7556, 0.8244], [0.5000, 0.2556, 0.1756], [0.5000, 0.7444, 0.1756]],
  "e_form_ev_per_atom": -0.91,
  "dos_ef_per_ev_atom": 0.302,
  "e_tot_ev_per_atom": -6.277
}